# 1
A plane-wave DFT calculation with PBE was carried out for a relaxed structure of NdHfPt.

Unit cell a=4.4610 b=4.4761 c=4.4761 alpha=120.00 beta=90.00 gamma=90.00
Fractional positions:
Pt: 0.1484 0.0000 0.0000
Nd: 0.6737 0.6667 0.3333
Hf: 0.1779 0.3333 0.6667

***

# 2
A plane-wave DFT calculation with PBE was carried out for a relaxed structure of NdHfPt2.

Unit cell a=4.4914 b=5.7670 c=7.4614 alpha=115.77 beta=90.00 gamma=90.00
Fractional positions:
Hf: 0.2500 0.2386 0.5980
Hf: 0.7500 0.7614 0.4020
Pt: 0.7500 0.2811 0.3991
Pt: 0.7500 0.1454 0.7700
Pt: 0.2500 0.7189 0.6009
Pt: 0.2500 0.8546 0.2300
Nd: 0.2500 0.2810 0.0967
Nd: 0.7500 0.7190 0.9033

***

# 3
A plane-wave DFT calculation with PBE was carried out for a relaxed structure of NdHfPt2.

Unit cell a=3.3376 b=3.3376 c=7.4854 alpha=90.00 beta=90.00 gamma=90.00
Fractional positions:
Pt: 0.0000 0.0000 0.7976
Pt: 0.0000 0.0000 0.2024
Hf: 0.5000 0.5000 0.0000
Nd: 0.5000 0.5000 0.5000

***

# 4
A plane-wave DFT calculation with PBE was carried out for a relaxed structure of NdHf2Pt9.

Unit cell a=4.0897 b=4.0897 c=12.2592 alpha=90.00 beta=90.00 gamma=90.00
Fractional positions:
Hf: 0.0000 0.0000 0.6640
Hf: 0.0000 0.0000 0.3360
Pt: 0.0000 0.5000 0.1798
Pt: 0.5000 0.0000 0.8202
Pt: 0.0000 0.5000 0.8202
Pt: 0.5000 0.0000 0.5000
Pt: 0.0000 0.5000 0.5000
Pt: 0.5000 0.0000 0.1798
Pt: 0.5000 0.5000 0.6602
Pt: 0.5000 0.5000 0.3398
Pt: 0.5000 0.5000 0.0000
Nd: 0.0000 0.0000 0.0000

***

# 5
A plane-wave DFT calculation with PBE was carried out for a relaxed structure of NdHfPt2.

Unit cell a=4.1197 b=4.1197 c=6.7639 alpha=72.27 beta=72.27 gamma=60.00
Fractional positions:
Nd: 0.5000 0.5000 0.5000
Pt: 0.7334 0.7334 0.7997
Pt: 0.2666 0.2666 0.2003
Hf: 0.0000 0.0000 0.0000

***

# 6
A plane-wave DFT calculation with PBE was carried out for a relaxed structure of NdHfPt.

Unit cell a=4.6680 b=4.6680 c=6.8755 alpha=90.00 beta=90.00 gamma=90.00
Fractional positions:
Hf: 0.5000 0.5000 0.5000
Hf: 0.0000 0.0000 0.5000
Pt: 0.0000 0.5000 0.3031
Pt: 0.5000 0.0000 0.6969
Nd: 0.5000 0.0000 0.1234
Nd: 0.0000 0.5000 0.8766

***

| no. | energy (eV per atom) | density of states at the Fermi level (states/eV/f.u.) | magnetization (μB/cell) |
| --- | --- | --- | --- |
| 1 | -7.5176 | 2.510 | 0.00 |
| 2 | -7.7821 | 2.274 | 0.00 |
| 3 | -7.7544 | 2.123 | 0.00 |
| 4 | -7.6260 | 2.741 | 0.00 |
| 5 | -7.6808 | 2.779 | 0.00 |
| 6 | -7.7728 | 2.229 | 0.00 |